[1]
First-principles (PBE) data for an optimized crystal structure of Ca2Ga9Ir6, as listed in the Alexandria database.

Cell: 5.5652 5.5652 11.9926 Å, 90.00 90.00 120.00°
Space group P6/mmm (No. 191)
Inequivalent atoms, fractional coordinates:
Ca 0.0000 0.0000 0.1676 [2 per cell]
Ga 0.0000 0.5000 0.0000 [3 per cell]
Ga 0.0000 0.5000 0.3376 [6 per cell]
Ir 0.3333 0.6667 0.1709 [4 per cell]
Ir 0.3333 0.6667 0.5000 [2 per cell]

---

[2]
First-principles (PBE) data for an optimized crystal structure of Ca2Ga4Ir5, as listed in the Alexandria database.

Cell: 5.669 9.627 15.142 Å, 90.00 90.00 90.00°
Space group Fmmm (No. 69)
Inequivalent atoms, fractional coordinates:
Ca 0.000 0.000 0.122 [8 per cell]
Ga 0.000 0.159 0.369 [16 per cell]
Ir 0.000 0.000 0.500 [4 per cell]
Ir 0.250 0.250 0.000 [8 per cell]
Ir 0.250 0.250 0.250 [8 per cell]

---

[3]
First-principles (PBE) data for an optimized crystal structure of Ca3Ga8Ir3, as listed in the Alexandria database.

Cell: 4.265 9.782 12.652 Å, 90.00 90.00 90.00°
Space group Immm (No. 71)
Inequivalent atoms, fractional coordinates:
Ca 0.000 0.000 0.000 [2 per cell]
Ca 0.000 0.000 0.326 [4 per cell]
Ga 0.000 0.288 0.119 [8 per cell]
Ga 0.000 0.363 0.330 [8 per cell]
Ir 0.000 0.224 0.500 [4 per cell]
Ir 0.000 0.500 0.000 [2 per cell]

---

[4]
First-principles (PBE) data for an optimized crystal structure of CaGa6Ir4, as listed in the Alexandria database.

Cell: 6.607 6.607 9.371 Å, 90.00 90.00 90.00°
Space group I-42m (No. 121)
Inequivalent atoms, fractional coordinates:
Ca 0.000 0.000 0.000 [2 per cell]
Ga 0.000 0.500 0.000 [4 per cell]
Ga 0.178 0.178 0.704 [8 per cell]
Ir 0.177 0.177 0.417 [8 per cell]

---

[5]
First-principles (PBE) data for an optimized crystal structure of Ca3Ga7Ir2, as listed in the Alexandria database.

Cell: 5.310 4.003 11.997 Å, 90.00 102.60 90.00°
Space group P2/m (No. 10)
Inequivalent atoms, fractional coordinates:
Ca 0.000 0.000 0.000 [1 per cell]
Ca 0.353 0.000 0.619 [2 per cell]
Ga 0.076 0.000 0.261 [2 per cell]
Ga 0.138 0.500 0.412 [2 per cell]
Ga 0.334 0.500 0.196 [2 per cell]
Ga 0.500 0.500 0.000 [1 per cell]
Ir 0.191 0.500 0.813 [2 per cell]

---

[6]
First-principles (PBE) data for an optimized crystal structure of Ca3Ga4Ir2, as listed in the Alexandria database.

Cell: 10.704 4.364 8.573 Å, 90.00 107.11 90.00°
Space group C2/m (No. 12)
Inequivalent atoms, fractional coordinates:
Ca 0.000 0.000 0.000 [2 per cell]
Ca 0.113 0.500 0.376 [4 per cell]
Ga 0.103 0.000 0.641 [4 per cell]
Ga 0.209 0.500 0.067 [4 per cell]
Ir 0.203 0.500 0.768 [4 per cell]

Computed properties:
- ΔE to the lowest computed polymorph (eV per formula unit) = 0.00

---

[7]
First-principles (PBE) data for an optimized crystal structure of Ca2Ga12Ir, as listed in the Alexandria database.

Cell: 6.043 6.043 16.159 Å, 90.00 90.00 90.00°
Space group P4/nbm (No. 125, origin choice 2)
Inequivalent atoms, fractional coordinates:
Ca 0.250 0.750 0.248 [4 per cell]
Ga 0.000 0.000 0.088 [8 per cell]
Ga 0.070 0.570 0.430 [8 per cell]
Ga 0.250 0.250 0.189 [4 per cell]
Ga 0.250 0.250 0.343 [4 per cell]
Ir 0.250 0.750 0.000 [2 per cell]

---

[8]
First-principles (PBE) data for an optimized crystal structure of Ca2GaIr, as listed in the Alexandria database.

Cell: 10.362 10.362 4.827 Å, 90.00 90.00 90.00°
Space group I-42d (No. 122)
Inequivalent atoms, fractional coordinates:
Ca 0.081 0.250 0.125 [8 per cell]
Ga 0.000 0.000 0.500 [4 per cell]
Ir 0.000 0.000 0.000 [4 per cell]

---

[9]
First-principles (PBE) data for an optimized crystal structure of Ca4Ga3Ir, as listed in the Alexandria database.

Cell: 4.247 4.333 11.078 Å, 90.00 90.00 90.00°
Space group Pmm2 (No. 25)
Inequivalent atoms, fractional coordinates:
Ca 0.000 0.000 0.000 [1 per cell]
Ca 0.000 0.500 0.274 [1 per cell]
Ca 0.500 0.000 0.473 [1 per cell]
Ca 0.500 0.500 0.776 [1 per cell]
Ga 0.000 0.000 0.699 [1 per cell]
Ga 0.000 0.500 0.563 [1 per cell]
Ga 0.500 0.500 0.075 [1 per cell]
Ir 0.500 0.000 0.187 [1 per cell]

---

[10]
First-principles (PBE) data for an optimized crystal structure of CaGaIr3, as listed in the Alexandria database.

Cell: 4.627 4.627 4.627 Å, 90.00 90.00 90.00°
Space group Pm-3m (No. 221)
Inequivalent atoms, fractional coordinates:
Ca 0.000 0.000 0.000 [1 per cell]
Ga 0.500 0.500 0.500 [1 per cell]
Ir 0.000 0.500 0.500 [3 per cell]

---

[11]
First-principles (PBE) data for an optimized crystal structure of CaGa2Ir2, as listed in the Alexandria database.

Cell: 7.549 7.549 2.913 Å, 90.00 90.00 90.00°
Space group P4/mbm (No. 127)
Inequivalent atoms, fractional coordinates:
Ca 0.000 0.000 0.000 [2 per cell]
Ga 0.130 0.370 0.000 [4 per cell]
Ir 0.166 0.666 0.500 [4 per cell]

---

[12]
First-principles (PBE) data for an optimized crystal structure of CaGa12Ir4, as listed in the Alexandria database.

Cell: 8.878 8.878 8.878 Å, 90.00 90.00 90.00°
Space group Im-3 (No. 204)
Inequivalent atoms, fractional coordinates:
Ca 0.000 0.000 0.000 [2 per cell]
Ga 0.000 0.164 0.339 [24 per cell]
Ir 0.250 0.250 0.250 [8 per cell]

---

[13]
First-principles (PBE) data for an optimized crystal structure of CaGa6Ir3, as listed in the Alexandria database.

Cell: 8.529 4.266 9.746 Å, 90.00 93.16 90.00°
Space group P2_1/m (No. 11)
Inequivalent atoms, fractional coordinates:
Ca 0.046 0.250 0.298 [2 per cell]
Ga 0.118 0.750 0.027 [2 per cell]
Ga 0.187 0.250 0.620 [2 per cell]
Ga 0.294 0.750 0.261 [2 per cell]
Ga 0.318 0.750 0.782 [2 per cell]
Ga 0.430 0.250 0.419 [2 per cell]
Ga 0.466 0.250 0.909 [2 per cell]
Ir 0.167 0.250 0.880 [2 per cell]
Ir 0.277 0.750 0.514 [2 per cell]
Ir 0.376 0.250 0.150 [2 per cell]

---

[14]
First-principles (PBE) data for an optimized crystal structure of CaGa3Ir, as listed in the Alexandria database.

Cell: 4.822 4.822 4.822 Å, 90.00 90.00 90.00°
Space group Pm-3m (No. 221)
Inequivalent atoms, fractional coordinates:
Ca 0.000 0.000 0.000 [1 per cell]
Ga 0.000 0.500 0.500 [3 per cell]
Ir 0.500 0.500 0.500 [1 per cell]

---

[15]
First-principles (PBE) data for an optimized crystal structure of CaGaIr, as listed in the Alexandria database.

Cell: 4.2416 4.2416 4.1757 Å, 90.00 90.00 120.00°
Space group P-6m2 (No. 187)
Inequivalent atoms, fractional coordinates:
Ca 0.0000 0.0000 0.0000 [1 per cell]
Ga 0.3333 0.6667 0.5000 [1 per cell]
Ir 0.6667 0.3333 0.5000 [1 per cell]

---

[16]
First-principles (PBE) data for an optimized crystal structure of Ca8Ga2Ir, as listed in the Alexandria database.

Cell: 18.360 5.275 7.093 Å, 90.00 108.02 90.00°
Space group C2/m (No. 12)
Inequivalent atoms, fractional coordinates:
Ca 0.027 0.000 0.300 [4 per cell]
Ca 0.093 0.500 0.922 [4 per cell]
Ca 0.155 0.500 0.456 [4 per cell]
Ca 0.208 0.000 0.802 [4 per cell]
Ga 0.182 0.000 0.209 [4 per cell]
Ir 0.000 0.500 0.500 [2 per cell]

---

[17]
First-principles (PBE) data for an optimized crystal structure of CaGa4Ir2, as listed in the Alexandria database.

Cell: 17.030 4.317 6.748 Å, 90.00 90.00 90.00°
Space group Pnma (No. 62)
Inequivalent atoms, fractional coordinates:
Ca 0.143 0.250 0.027 [4 per cell]
Ga 0.035 0.750 0.860 [4 per cell]
Ga 0.067 0.250 0.482 [4 per cell]
Ga 0.184 0.750 0.332 [4 per cell]
Ga 0.193 0.750 0.741 [4 per cell]
Ir 0.036 0.750 0.249 [4 per cell]
Ir 0.214 0.250 0.542 [4 per cell]

---

[18]
First-principles (PBE) data for an optimized crystal structure of Ca2Ga4Ir3, as listed in the Alexandria database.

Cell: 5.571 9.620 12.725 Å, 90.00 90.00 90.00°
Space group Fmmm (No. 69)
Inequivalent atoms, fractional coordinates:
Ca 0.000 0.000 0.124 [8 per cell]
Ga 0.000 0.172 0.340 [16 per cell]
Ir 0.000 0.000 0.500 [4 per cell]
Ir 0.250 0.250 0.000 [8 per cell]

---

[19]
First-principles (PBE) data for an optimized crystal structure of CaGa2Ir2, as listed in the Alexandria database.

Cell: 4.298 4.298 10.077 Å, 90.00 90.00 90.00°
Space group I4/mmm (No. 139)
Inequivalent atoms, fractional coordinates:
Ca 0.000 0.000 0.000 [2 per cell]
Ga 0.000 0.000 0.373 [4 per cell]
Ir 0.000 0.500 0.250 [4 per cell]

---

[20]
First-principles (PBE) data for an optimized crystal structure of CaGa3Ir3, as listed in the Alexandria database.

Cell: 6.796 6.796 6.796 Å, 90.00 90.00 90.00°
Space group Pm-3n (No. 223)
Inequivalent atoms, fractional coordinates:
Ca 0.000 0.000 0.000 [2 per cell]
Ga 0.000 0.250 0.500 [6 per cell]
Ir 0.000 0.500 0.250 [6 per cell]

---

Going through the records in order, we get formation energy from the elements values of -0.339, -0.477, -0.505, -0.437, -0.408, -0.566, -0.341, -0.287, -0.474, 0.516, -0.528, -0.167, -0.462, -0.308, -0.506, -0.277, -0.520, -0.475, -0.573, 0.001 eV per atom.